Entry 1:
! InPdN2 (PBE, relaxed); values from VASP
&SYSTEM
  ibrav = 0, nat = 8, ntyp = 3
/
ATOMIC_SPECIES
In 114.82 In.upf
Pd 106.42 Pd.upf
N 14.01 N.upf
CELL_PARAMETERS angstrom
-2.378 2.378 5.284
2.378 -2.378 5.284
2.378 2.378 -5.284
ATOMIC_POSITIONS angstrom
In 0.000 0.000 0.000
In 0.000 2.378 2.642
Pd 2.378 0.000 2.642
Pd 0.000 0.000 5.284
N 1.189 -1.069 3.963
N 1.309 1.189 1.321
N 1.189 3.448 -1.321
N 1.069 1.189 6.606
! - formation energy from raw total energies (kJ per mole of atoms) = 74.8
! - size of the total moment (μB per atom) = 0.00
! - total energy (eV/atom) = -5.370

Entry 2:
! La6Co2RuI3 (PBE, relaxed); values from VASP
&SYSTEM
  ibrav = 0, nat = 12, ntyp = 4
/
ATOMIC_SPECIES
La 138.91 La.upf
Co 58.93 Co.upf
Ru 101.07 Ru.upf
I 126.90 I.upf
CELL_PARAMETERS angstrom
3.593 -6.223 0.000
3.593 6.223 0.000
-2.395 0.000 8.270
ATOMIC_POSITIONS angstrom
La -0.010 2.092 6.759
La 1.177 0.000 1.512
La -0.010 -2.092 6.759
La 4.801 2.092 1.512
La 3.613 0.000 6.759
La 4.801 -2.092 1.512
Co 3.593 4.148 0.000
Co 3.593 -4.148 0.000
Ru 3.593 0.000 0.000
I -1.197 0.000 4.135
I 2.395 2.064 4.135
I 2.395 -2.064 4.135
! - formation energy from raw total energies (kJ per mole of atoms) = -69.5
! - size of the total moment (μB per atom) = 0.00
! - total energy (eV/atom) = -5.529

Entry 3:
! SrMg2V (PBE, relaxed); values from VASP
&SYSTEM
  ibrav = 0, nat = 8, ntyp = 3
/
ATOMIC_SPECIES
Sr 87.62 Sr.upf
Mg 24.30 Mg.upf
V 50.94 V.upf
CELL_PARAMETERS angstrom
-2.359 2.359 10.879
2.359 -2.359 10.879
2.359 2.359 -10.879
ATOMIC_POSITIONS angstrom
Sr 0.000 0.000 0.000
Sr 0.000 2.359 5.439
Mg 1.179 -0.839 8.159
Mg 1.520 1.179 2.720
Mg 1.179 3.198 -2.720
Mg 0.839 1.179 13.598
V 2.359 0.000 5.439
V 0.000 0.000 10.879
! - size of the total moment (μB per atom) = 1.00
! - total energy (eV/atom) = -2.804
! - formation enthalpy at 0 K (meV per atom) = 693.2

Entry 4:
! HfRhS2Cl (PBE, relaxed); values from VASP
&SYSTEM
  ibrav = 0, nat = 5, ntyp = 4
/
ATOMIC_SPECIES
Hf 178.49 Hf.upf
Rh 102.91 Rh.upf
S 32.06 S.upf
Cl 35.45 Cl.upf
CELL_PARAMETERS angstrom
4.642 0.000 0.000
0.000 4.642 0.000
0.000 0.000 4.523
ATOMIC_POSITIONS angstrom
Hf 0.000 0.000 0.000
Rh 2.321 2.321 2.262
S 0.000 2.321 2.262
S 2.321 0.000 2.262
Cl 2.321 2.321 0.000
! - formation energy from raw total energies (kJ per mole of atoms) = 8.9
! - size of the total moment (μB per atom) = 0.00
! - total energy (eV/atom) = -5.389

Entry 5:
! CaVAsBr2 (PBE, relaxed); values from VASP
&SYSTEM
  ibrav = 0, nat = 5, ntyp = 4
/
ATOMIC_SPECIES
Ca 40.08 Ca.upf
V 50.94 V.upf
As 74.92 As.upf
Br 79.90 Br.upf
CELL_PARAMETERS angstrom
5.387 0.000 0.000
0.000 5.387 0.000
0.000 0.000 5.959
ATOMIC_POSITIONS angstrom
Ca 0.000 0.000 0.000
V 2.693 2.693 2.979
As 0.000 0.000 2.979
Br 0.000 2.693 0.000
Br 2.693 0.000 0.000
! - formation energy from raw total energies (kJ per mole of atoms) = 8.2
! - size of the total moment (μB per atom) = 0.40
! - total energy (eV/atom) = -3.738

Entry 6:
! LaVMo2 (PBE, relaxed); values from VASP
&SYSTEM
  ibrav = 0, nat = 8, ntyp = 3
/
ATOMIC_SPECIES
La 138.91 La.upf
V 50.94 V.upf
Mo 95.94 Mo.upf
CELL_PARAMETERS angstrom
5.959 -2.026 0.000
5.959 2.026 0.000
-0.846 0.000 6.884
ATOMIC_POSITIONS angstrom
La 0.000 0.000 0.000
La 0.846 0.000 3.202
V 2.694 0.000 6.132
V 4.087 0.000 1.937
Mo 4.660 0.000 4.406
Mo 7.265 0.000 5.728
Mo 8.694 0.000 1.326
Mo 9.202 0.000 3.949
! - size of the total moment (μB per atom) = 0.00
! - total energy (eV/atom) = -8.557
! - formation enthalpy at 0 K (meV per atom) = 370.2

Entry 7:
! CsNa2NpBr8 (PBE, relaxed); values from VASP
&SYSTEM
  ibrav = 0, nat = 12, ntyp = 4
/
ATOMIC_SPECIES
Cs 132.91 Cs.upf
Na 22.99 Na.upf
Np 237.00 Np.upf
Br 79.90 Br.upf
CELL_PARAMETERS angstrom
6.515 0.000 0.000
-0.316 7.014 0.000
-0.095 -0.040 10.063
ATOMIC_POSITIONS angstrom
Cs 0.000 0.000 0.000
Na 3.010 3.473 7.519
Na 3.094 3.502 2.544
Np -0.048 -0.020 5.031
Br 1.247 5.920 3.095
Br 1.241 5.941 6.988
Br 1.384 3.381 10.062
Br 1.492 2.271 5.021
Br 4.612 4.703 5.041
Br 4.719 3.594 0.001
Br 4.862 1.034 3.074
Br 4.857 1.055 6.967
! - formation energy from raw total energies (kJ per mole of atoms) = -126.0
! - size of the total moment (μB per atom) = 0.20
! - total energy (eV/atom) = -3.791

Entry 8:
! LaTh2Sc (PBE, relaxed); values from VASP
&SYSTEM
  ibrav = 0, nat = 4, ntyp = 3
/
ATOMIC_SPECIES
La 138.91 La.upf
Th 232.04 Th.upf
Sc 44.96 Sc.upf
CELL_PARAMETERS angstrom
3.559 0.000 0.000
0.000 3.559 0.000
0.000 0.000 9.783
ATOMIC_POSITIONS angstrom
La 0.000 0.000 0.000
Th 1.779 1.779 2.604
Th 1.779 1.779 7.179
Sc 0.000 0.000 4.891
! - size of the total moment (μB per atom) = 0.00
! - total energy (eV/atom) = -6.460
! - formation enthalpy at 0 K (meV per atom) = 64.8

Entry 9:
! TbTm2Zn6 (PBE, relaxed); values from VASP
&SYSTEM
  ibrav = 0, nat = 9, ntyp = 3
/
ATOMIC_SPECIES
Tb 158.93 Tb.upf
Tm 168.93 Tm.upf
Zn 65.41 Zn.upf
CELL_PARAMETERS angstrom
7.718 0.000 0.000
-3.859 6.684 0.000
0.000 0.000 3.463
ATOMIC_POSITIONS angstrom
Tb 0.000 0.000 0.000
Tm 0.000 4.456 0.000
Tm 3.859 2.228 0.000
Zn -1.292 2.238 1.731
Zn -2.567 4.446 1.731
Zn 2.584 0.000 1.731
Zn 1.292 2.238 1.731
Zn 5.134 0.000 1.731
Zn 2.567 4.446 1.731
! - size of the total moment (μB per atom) = 0.00
! - total energy (eV/atom) = -2.737
! - formation enthalpy at 0 K (meV per atom) = -379.4

Entry 10:
! NdHoTh2 (PBE, relaxed); values from VASP
&SYSTEM
  ibrav = 0, nat = 8, ntyp = 3
/
ATOMIC_SPECIES
Nd 144.24 Nd.upf
Ho 164.93 Ho.upf
Th 232.04 Th.upf
CELL_PARAMETERS angstrom
5.054 0.000 0.000
0.000 5.086 0.000
-0.018 0.000 10.186
ATOMIC_POSITIONS angstrom
Nd 5.049 1.272 1.346
Nd -0.013 3.815 8.840
Ho 2.513 1.272 8.839
Ho 2.523 3.815 1.347
Th -0.011 1.272 6.333
Th 5.046 3.815 3.854
Th 2.521 1.272 3.874
Th 2.514 3.815 6.312
! - size of the total moment (μB per atom) = 0.00
! - total energy (eV/atom) = -6.017
! - formation enthalpy at 0 K (meV per atom) = 29.7

Entry 11:
! Rb3HfPb2Se6 (PBE, relaxed); values from VASP
&SYSTEM
  ibrav = 0, nat = 12, ntyp = 4
/
ATOMIC_SPECIES
Rb 85.47 Rb.upf
Hf 178.49 Hf.upf
Pb 207.20 Pb.upf
Se 78.96 Se.upf
CELL_PARAMETERS angstrom
3.731 -6.459 0.000
3.731 6.459 0.000
-2.494 0.000 7.924
ATOMIC_POSITIONS angstrom
Rb 0.000 0.000 0.000
Rb 3.731 2.269 0.000
Rb 3.731 -2.269 0.000
Hf 2.484 0.000 3.962
Pb 2.484 4.323 3.962
Pb 2.484 -4.323 3.962
Se 1.368 1.936 2.417
Se 0.262 0.000 5.529
Se 1.368 -1.936 2.417
Se 3.600 1.936 5.506
Se 4.707 0.000 2.394
Se 3.600 -1.936 5.506
! - formation energy from raw total energies (kJ per mole of atoms) = -96.6
! - size of the total moment (μB per atom) = 0.00
! - total energy (eV/atom) = -4.433

Entry 12:
! MnHg2Ir (PBE, relaxed); values from VASP
&SYSTEM
  ibrav = 0, nat = 4, ntyp = 3
/
ATOMIC_SPECIES
Mn 54.94 Mn.upf
Hg 200.59 Hg.upf
Ir 192.22 Ir.upf
CELL_PARAMETERS angstrom
3.106 0.000 0.000
0.000 3.106 0.000
0.000 0.000 7.351
ATOMIC_POSITIONS angstrom
Mn 0.000 0.000 0.000
Hg 1.553 1.553 1.846
Hg 1.553 1.553 5.505
Ir 0.000 0.000 3.676
! - size of the total moment (μB per atom) = 0.99
! - total energy (eV/atom) = -4.204
! - formation enthalpy at 0 K (meV per atom) = 454.6